(1)
# K2UPaTe4

K2UPaTe4 after structural relaxation (PBE, Alexandria).

- energy relative to the elements, uncorrected (eV per atom) = -0.89

The structure in CIF format:
```
data_K2UPaTe4
_cell_length_a 7.674
_cell_length_b 4.421
_cell_length_c 8.835
_cell_angle_alpha 90.00
_cell_angle_beta 106.74
_cell_angle_gamma 90.00
_symmetry_space_group_name_H-M 'P 1 2/m 1'
_symmetry_Int_Tables_number 10
_symmetry_space_group_name_Hall '-P 2y'
loop_
_atom_site_label
_atom_site_fract_x
_atom_site_fract_y
_atom_site_fract_z
K1 0.000 0.000 0.000
K2 0.500 0.500 0.000
U1 0.000 0.500 0.500
Pa1 0.500 0.000 0.500
Te1 0.240 0.000 0.715
Te2 0.263 0.500 0.284
```

=====

(2)
# MnGe2H

MnGe2H after structural relaxation (PBE, Alexandria).

- distance to the lowest polymorph of the same formula (meV per atom) = 0

The structure in CIF format:
```
data_MnGe2H
_cell_length_a 5.991
_cell_length_b 5.991
_cell_length_c 5.991
_cell_angle_alpha 90.00
_cell_angle_beta 90.00
_cell_angle_gamma 90.00
_symmetry_space_group_name_H-M 'F m -3 m'
_symmetry_Int_Tables_number 225
_symmetry_space_group_name_Hall '-F 4 2 3'
loop_
_atom_site_label
_atom_site_fract_x
_atom_site_fract_y
_atom_site_fract_z
Mn1 0.000 0.000 0.000
Ge1 0.250 0.250 0.250
H1 0.000 0.000 0.500
```

=====

(3)
# SrBeNi3

SrBeNi3 after structural relaxation (PBE, Alexandria).

- distance to the lowest polymorph of the same formula (meV per atom) = 1952
- calculated formation energy (eV/atom) = 2.038

The structure in CIF format:
```
data_SrBeNi3
_cell_length_a 4.697
_cell_length_b 4.697
_cell_length_c 4.697
_cell_angle_alpha 90.00
_cell_angle_beta 90.00
_cell_angle_gamma 90.00
_symmetry_space_group_name_H-M 'P m -3 m'
_symmetry_Int_Tables_number 221
_symmetry_space_group_name_Hall '-P 4 2 3'
loop_
_atom_site_label
_atom_site_fract_x
_atom_site_fract_y
_atom_site_fract_z
Sr1 0.000 0.000 0.000
Be1 0.500 0.500 0.500
Ni1 0.000 0.000 0.500
```

=====

(4)
# Rb3Mg2H7

Rb3Mg2H7 after structural relaxation (PBE, Alexandria).

- distance to the lowest polymorph of the same formula (meV per atom) = 14

The structure in CIF format:
```
data_Rb3Mg2H7
_cell_length_a 4.158
_cell_length_b 22.816
_cell_length_c 4.051
_cell_angle_alpha 90.00
_cell_angle_beta 90.00
_cell_angle_gamma 90.00
_symmetry_space_group_name_H-M 'C m m m'
_symmetry_Int_Tables_number 65
_symmetry_space_group_name_Hall '-C 2 2'
loop_
_atom_site_label
_atom_site_fract_x
_atom_site_fract_y
_atom_site_fract_z
Rb1 0.000 0.000 0.000
Rb2 0.000 0.180 0.000
Mg1 0.000 0.410 0.500
H1 0.000 0.090 0.500
H2 0.000 0.322 0.500
H3 0.000 0.410 0.000
H4 0.000 0.500 0.500
```

=====

(5)
# Er2TlHg8

Er2TlHg8 after structural relaxation (PBE, Alexandria).

- calculated formation energy (eV/atom) = -0.172

The structure in CIF format:
```
data_Er2TlHg8
_cell_length_a 5.015
_cell_length_b 6.981
_cell_length_c 16.046
_cell_angle_alpha 90.00
_cell_angle_beta 90.00
_cell_angle_gamma 90.00
_symmetry_space_group_name_H-M 'I m m m'
_symmetry_Int_Tables_number 71
_symmetry_space_group_name_Hall '-I 2 2'
loop_
_atom_site_label
_atom_site_fract_x
_atom_site_fract_y
_atom_site_fract_z
Er1 0.000 0.000 0.194
Tl1 0.000 0.000 0.500
Hg1 0.000 0.208 0.000
Hg2 0.000 0.273 0.352
Hg3 0.000 0.500 0.169
```

=====

(6)
# Zr2InRh2

Zr2InRh2 after structural relaxation (PBE, Alexandria).

- calculated formation energy (eV/atom) = -0.433

The structure in CIF format:
```
data_Zr2InRh2
_cell_length_a 4.578
_cell_length_b 4.578
_cell_length_c 10.287
_cell_angle_alpha 90.00
_cell_angle_beta 90.00
_cell_angle_gamma 90.00
_symmetry_space_group_name_H-M 'I 4/m m m'
_symmetry_Int_Tables_number 139
_symmetry_space_group_name_Hall '-I 4 2'
loop_
_atom_site_label
_atom_site_fract_x
_atom_site_fract_y
_atom_site_fract_z
Zr1 0.000 0.500 0.250
In1 0.000 0.000 0.000
Rh1 0.000 0.000 0.380
```

=====

(7)
# MgPaIO6

MgPaIO6 after structural relaxation (PBE, Alexandria).

- energy relative to the elements, uncorrected (eV per atom) = -2.05

The structure in CIF format:
```
data_MgPaIO6
_cell_length_a 5.3571
_cell_length_b 5.3571
_cell_length_c 9.6958
_cell_angle_alpha 90.00
_cell_angle_beta 90.00
_cell_angle_gamma 120.00
_symmetry_space_group_name_H-M 'P -3 1 c'
_symmetry_Int_Tables_number 163
_symmetry_space_group_name_Hall '-P 3 2c'
loop_
_atom_site_label
_atom_site_fract_x
_atom_site_fract_y
_atom_site_fract_z
Mg1 0.3333 0.6667 0.2500
Pa1 0.0000 0.0000 0.0000
I1 0.3333 0.6667 0.7500
O1 0.0016 0.3375 0.6320
```

=====

(8)
# TlPAu

TlPAu after structural relaxation (PBE, Alexandria).

- distance to the lowest polymorph of the same formula (meV per atom) = 0
- calculated formation energy (eV/atom) = -0.064

The structure in CIF format:
```
data_TlPAu
_cell_length_a 9.282
_cell_length_b 6.966
_cell_length_c 5.667
_cell_angle_alpha 90.00
_cell_angle_beta 125.32
_cell_angle_gamma 90.00
_symmetry_space_group_name_H-M 'C 1 2/m 1'
_symmetry_Int_Tables_number 12
_symmetry_space_group_name_Hall '-C 2y'
loop_
_atom_site_label
_atom_site_fract_x
_atom_site_fract_y
_atom_site_fract_z
Tl1 0.153 0.000 0.392
P1 0.036 0.500 0.845
Au1 0.250 0.250 0.000
```

=====

(9)
# LiIn2Au

LiIn2Au after structural relaxation (PBE, Alexandria).

- calculated formation energy (eV/atom) = -0.236

The structure in CIF format:
```
data_LiIn2Au
_cell_length_a 3.626
_cell_length_b 3.691
_cell_length_c 6.138
_cell_angle_alpha 90.00
_cell_angle_beta 90.00
_cell_angle_gamma 90.00
_symmetry_space_group_name_H-M 'P m m m'
_symmetry_Int_Tables_number 47
_symmetry_space_group_name_Hall '-P 2 2'
loop_
_atom_site_label
_atom_site_fract_x
_atom_site_fract_y
_atom_site_fract_z
Li1 0.000 0.000 0.000
In1 0.500 0.500 0.249
Au1 0.000 0.000 0.500
```

=====

(10)
# TiZnCu

TiZnCu after structural relaxation (PBE, Alexandria).

- calculated formation energy (eV/atom) = -0.098

The structure in CIF format:
```
data_TiZnCu
_cell_length_a 2.868
_cell_length_b 2.868
_cell_length_c 10.553
_cell_angle_alpha 90.00
_cell_angle_beta 90.00
_cell_angle_gamma 90.00
_symmetry_space_group_name_H-M 'P 4/n m m'
_symmetry_Int_Tables_number 129
loop_
_symmetry_equiv_pos_as_xyz
'x,y,z'
'-x,-y,-z'
'-y+1/2,x,z'
'y+1/2,-x,-z'
'-x+1/2,-y+1/2,z'
'x+1/2,y+1/2,-z'
'y,-x+1/2,z'
'-y,x+1/2,-z'
'x+1/2,-y,-z'
'-x+1/2,y,z'
'-y,-x,-z'
'y,x,z'
'-x,y+1/2,-z'
'x,-y+1/2,z'
'y+1/2,x+1/2,-z'
'-y+1/2,-x+1/2,z'
loop_
_atom_site_label
_atom_site_fract_x
_atom_site_fract_y
_atom_site_fract_z
Ti1 0.250 0.250 0.236
Zn1 0.250 0.250 0.582
Cu1 0.250 0.250 0.929
```

=====

(11)
# CuReRu2

CuReRu2 after structural relaxation (PBE, Alexandria).

- distance to the lowest polymorph of the same formula (meV per atom) = 65
- calculated formation energy (eV/atom) = 0.191

The structure in CIF format:
```
data_CuReRu2
_cell_length_a 3.884
_cell_length_b 3.884
_cell_length_c 7.322
_cell_angle_alpha 90.00
_cell_angle_beta 90.00
_cell_angle_gamma 90.00
_symmetry_space_group_name_H-M 'I 4/m m m'
_symmetry_Int_Tables_number 139
_symmetry_space_group_name_Hall '-I 4 2'
loop_
_atom_site_label
_atom_site_fract_x
_atom_site_fract_y
_atom_site_fract_z
Cu1 0.000 0.000 0.000
Re1 0.000 0.000 0.500
Ru1 0.000 0.500 0.250
```

=====

(12)
# Nd2ZnCu2Ni5

Nd2ZnCu2Ni5 after structural relaxation (PBE, Alexandria).

- calculated formation energy (eV/atom) = -0.154

The structure in CIF format:
```
data_Nd2ZnCu2Ni5
_cell_length_a 9.087
_cell_length_b 9.087
_cell_length_c 3.726
_cell_angle_alpha 90.00
_cell_angle_beta 90.00
_cell_angle_gamma 90.00
_symmetry_space_group_name_H-M 'P 4/m b m'
_symmetry_Int_Tables_number 127
_symmetry_space_group_name_Hall '-P 4 2ab'
loop_
_atom_site_label
_atom_site_fract_x
_atom_site_fract_y
_atom_site_fract_z
Nd1 0.183 0.317 0.000
Zn1 0.000 0.000 0.000
Cu1 0.115 0.615 0.000
Ni1 0.000 0.500 0.500
Ni2 0.056 0.796 0.500
```

=====

(13)
# PmHo3Er4

PmHo3Er4 after structural relaxation (PBE, Alexandria).

- distance to the lowest polymorph of the same formula (meV per atom) = 17
- calculated formation energy (eV/atom) = 0.022

The structure in CIF format:
```
data_PmHo3Er4
_cell_length_a 3.536
_cell_length_b 7.051
_cell_length_c 9.965
_cell_angle_alpha 90.00
_cell_angle_beta 90.00
_cell_angle_gamma 90.00
_symmetry_space_group_name_H-M 'P m m m'
_symmetry_Int_Tables_number 47
_symmetry_space_group_name_Hall '-P 2 2'
loop_
_atom_site_label
_atom_site_fract_x
_atom_site_fract_y
_atom_site_fract_z
Pm1 0.000 0.000 0.000
Ho1 0.000 0.000 0.500
Ho2 0.000 0.500 0.000
Ho3 0.000 0.500 0.500
Er1 0.500 0.252 0.252
```

=====

(14)
# La15TbIn4

La15TbIn4 after structural relaxation (PBE, Alexandria).

- calculated formation energy (eV/atom) = -0.231

The structure in CIF format:
```
data_La15TbIn4
_cell_length_a 5.074
_cell_length_b 5.074
_cell_length_c 25.729
_cell_angle_alpha 90.00
_cell_angle_beta 90.00
_cell_angle_gamma 90.00
_symmetry_space_group_name_H-M 'P 4/m m m'
_symmetry_Int_Tables_number 123
_symmetry_space_group_name_Hall '-P 4 2'
loop_
_atom_site_label
_atom_site_fract_x
_atom_site_fract_y
_atom_site_fract_z
La1 0.000 0.000 0.000
La2 0.000 0.000 0.204
La3 0.000 0.000 0.401
La4 0.000 0.500 0.104
La5 0.000 0.500 0.302
La6 0.000 0.500 0.500
Tb1 0.500 0.500 0.000
In1 0.500 0.500 0.204
In2 0.500 0.500 0.401
```

=====

(15)
# RbPNCl2

RbPNCl2 after structural relaxation (PBE, Alexandria).

- distance to the lowest polymorph of the same formula (meV per atom) = 1343
- energy relative to the elements, uncorrected (eV per atom) = 1.26

The structure in CIF format:
```
data_RbPNCl2
_cell_length_a 6.383
_cell_length_b 6.383
_cell_length_c 7.953
_cell_angle_alpha 90.00
_cell_angle_beta 90.00
_cell_angle_gamma 90.00
_symmetry_space_group_name_H-M 'P 4/m m m'
_symmetry_Int_Tables_number 123
_symmetry_space_group_name_Hall '-P 4 2'
loop_
_atom_site_label
_atom_site_fract_x
_atom_site_fract_y
_atom_site_fract_z
Rb1 0.000 0.000 0.000
P1 0.000 0.000 0.500
N1 0.500 0.500 0.500
Cl1 0.000 0.500 0.000
```

=====

(16)
# KScTl2F6

KScTl2F6 after structural relaxation (PBE, Alexandria).

- distance to the lowest polymorph of the same formula (meV per atom) = 0
- energy relative to the elements, uncorrected (eV per atom) = -2.90

The structure in CIF format:
```
data_KScTl2F6
_cell_length_a 6.396
_cell_length_b 6.542
_cell_length_c 11.143
_cell_angle_alpha 90.00
_cell_angle_beta 125.02
_cell_angle_gamma 90.00
_symmetry_space_group_name_H-M 'P 1 21/c 1'
_symmetry_Int_Tables_number 14
_symmetry_space_group_name_Hall '-P 2ybc'
loop_
_atom_site_label
_atom_site_fract_x
_atom_site_fract_y
_atom_site_fract_z
K1 0.000 0.000 0.000
Sc1 0.500 0.000 0.500
Tl1 0.255 0.034 0.747
F1 0.204 0.034 0.284
F2 0.275 0.678 0.034
F3 0.376 0.246 0.050
```

=====

(17)
# Li7Mg2Ag3

Li7Mg2Ag3 after structural relaxation (PBE, Alexandria).

- calculated formation energy (eV/atom) = -0.110

The structure in CIF format:
```
data_Li7Mg2Ag3
_cell_length_a 4.924
_cell_length_b 3.018
_cell_length_c 14.692
_cell_angle_alpha 90.00
_cell_angle_beta 96.82
_cell_angle_gamma 90.00
_symmetry_space_group_name_H-M 'P 1 2/m 1'
_symmetry_Int_Tables_number 10
_symmetry_space_group_name_Hall '-P 2y'
loop_
_atom_site_label
_atom_site_fract_x
_atom_site_fract_y
_atom_site_fract_z
Li1 0.000 0.000 0.000
Li2 0.077 0.500 0.815
Li3 0.241 0.500 0.499
Li4 0.427 0.000 0.146
Mg1 0.440 0.500 0.319
Ag1 0.051 0.000 0.649
Ag2 0.500 0.500 0.000
```

=====

(18)
# La2Pr2P3

La2Pr2P3 after structural relaxation (PBE, Alexandria).

- calculated formation energy (eV/atom) = -1.267

The structure in CIF format:
```
data_La2Pr2P3
_cell_length_a 15.695
_cell_length_b 4.198
_cell_length_c 7.180
_cell_angle_alpha 90.00
_cell_angle_beta 117.10
_cell_angle_gamma 90.00
_symmetry_space_group_name_H-M 'C 1 2/m 1'
_symmetry_Int_Tables_number 12
_symmetry_space_group_name_Hall '-C 2y'
loop_
_atom_site_label
_atom_site_fract_x
_atom_site_fract_y
_atom_site_fract_z
La1 0.129 0.000 0.284
Pr1 0.132 0.500 0.812
P1 0.000 0.500 0.000
P2 0.239 0.000 0.743
```

=====

(19)
# CsAc2NbO6

CsAc2NbO6 after structural relaxation (PBE, Alexandria).

- energy relative to the elements, uncorrected (eV per atom) = -2.83

The structure in CIF format:
```
data_CsAc2NbO6
_cell_length_a 6.2614
_cell_length_b 6.2614
_cell_length_c 16.8432
_cell_angle_alpha 90.00
_cell_angle_beta 90.00
_cell_angle_gamma 120.00
_symmetry_space_group_name_H-M 'R 3'
_symmetry_Int_Tables_number 146
_symmetry_space_group_name_Hall 'R 3'
loop_
_atom_site_label
_atom_site_fract_x
_atom_site_fract_y
_atom_site_fract_z
Cs1 0.0000 0.0000 0.0000
Ac1 0.0000 0.0000 0.2497
Ac2 0.0000 0.0000 0.7644
Nb1 0.0000 0.0000 0.4499
O1 0.0534 0.5799 0.0321
O2 0.0591 0.3806 0.1737
```

=====

(20)
# Rb2HfRu

Rb2HfRu after structural relaxation (PBE, Alexandria).

- distance to the lowest polymorph of the same formula (meV per atom) = 0
- calculated formation energy (eV/atom) = 1.000

The structure in CIF format:
```
data_Rb2HfRu
_cell_length_a 13.303
_cell_length_b 13.303
_cell_length_c 4.697
_cell_angle_alpha 90.00
_cell_angle_beta 90.00
_cell_angle_gamma 90.00
_symmetry_space_group_name_H-M 'I -4 2 d'
_symmetry_Int_Tables_number 122
_symmetry_space_group_name_Hall 'I -4 2bw'
loop_
_atom_site_label
_atom_site_fract_x
_atom_site_fract_y
_atom_site_fract_z
Rb1 0.082 0.750 0.125
Hf1 0.000 0.000 0.500
Ru1 0.000 0.000 0.000
```

=====

The following calculated density values (in g cm⁻³) correspond, in order, to the records above: 6.12, 6.22, 4.37, 2.70, 12.67, 7.75, 6.59, 9.60, 8.76, 6.77, 13.58, 8.36, 8.75, 6.77, 1.03, 5.28, 3.22, 5.15, 6.76, 3.60.